Below is a relaxed structure of NaCo2Ag, with properties calculated at the GGA-PBE level.

a b c (Å): 10.1732 10.1732 10.1732
angles (deg): 158.87 158.87 30.06
Last column: nearest neighbours and their distance in Å.
Sites, in units of the cell vectors:
Na (0.0000, 0.0000, 0.0000)  4 Ag 2.64, 4 Co 2.89
Na (0.7500, 0.2500, 0.5000)  4 Ag 2.64, 4 Co 2.89
Co (0.1962, 0.6250, 0.0712)  2 Co 2.29
Co (0.3750, 0.4462, 0.5712)  2 Co 2.29
Co (0.5538, 0.1250, 0.9288)  2 Co 2.29
Co (0.8750, 0.8038, 0.4288)  2 Co 2.29
Ag (0.2500, 0.7500, 0.5000)  4 Na 2.64, 4 Co 2.71
Ag (0.5000, 0.5000, 0.0000)  4 Na 2.64, 4 Co 2.71

Results
Polymorph energy (0 for the lowest one): 0 meV per atom
Theoretical density: 6.039 g/cm3
Spin magnetization: 0.87 μB per atom
Space-group type: I-42d, No. 122
Calculated formation energy: 3.1 eV per formula unit